## AcAgGeS4 (PBE)

Data for crystalline AcAgGeS4 at its relaxed geometry.

The structure in extended XYZ format:
```
14
Lattice="6.5131 0.0000 0.3133 0.0000 7.0186 0.0000 -2.1931 0.0000 7.3497" Properties=species:S:1:pos:R:3 pbc="T T T"
Ac 2.9292 5.2639 7.1660
S 2.2066 5.2639 0.6142
Ac 1.3908 1.7546 0.4970
Ge 0.8651 5.2639 2.4035
S 2.5404 1.7546 3.2635
Ag 0.1174 1.7546 4.0079
S 2.1134 1.7546 7.0488
S -1.6065 0.0849 5.4113
S -1.6065 3.4244 5.4113
S 1.7796 5.2639 4.3995
S 5.9265 6.9337 2.2517
S 5.9265 3.5942 2.2517
Ge 3.4549 1.7546 5.2595
Ag 4.2026 5.2639 3.6551
```



## AcAg2GeS4 (PBE)

Data for crystalline AcAg2GeS4 at its relaxed geometry.

The structure in extended XYZ format:
```
16
Lattice="8.8573 0.4180 -0.1697 0.4040 10.0877 -0.3546 -4.7978 -5.5654 5.2368" Properties=species:S:1:pos:R:3 pbc="T T T"
Ag 2.6143 -1.4186 2.0355
S 4.4541 4.3738 2.8823
Ac 0.3900 4.9021 0.0332
S 2.5265 -2.6398 4.5621
Ac -2.1495 2.0282 2.5044
S 0.1299 3.8589 2.8001
S -2.7492 -3.1606 4.5686
Ge 4.2860 -4.0440 4.6910
S 2.5153 6.8526 0.0408
Ag -0.9935 -4.9327 5.1131
S 0.3324 0.3175 1.7650
Ag 4.6513 5.7684 0.8057
Ag 5.7521 -1.8383 1.9761
Ge 1.8874 2.1488 2.7141
S 4.5615 0.3518 2.2108
S 6.6913 6.7794 -0.2935
```



Computed density of states at the Fermi level (states/eV/f.u.) in order:
0.0; 0.0
Computed E (eV/cell) in order:
-68.4; -74.2
Computed ΔE_f (raw) (eV/atom) in order:
-0.87; -0.77